Mn4SbBr after structural relaxation. Source: Alexandria via LeMat-Bulk, functional PBE-GGA.

Computed properties:
Crystal system: cubic
VASP energy, eV per atom: -6.50
Uncorrected formation energy, meV/atom: 575

The structure in POSCAR format:
```
Mn4SbBr
1.0
-5.075 0.340 1.740
-3.959 1.120 -3.460
-3.559 -3.801 -1.334
Mn Sb Br
4 1 1
direct
0.624 0.624 0.624 Mn
0.129 0.624 0.624 Mn
0.624 0.624 0.129 Mn
0.624 0.129 0.624 Mn
0.250 0.250 0.250 Sb
0.000 0.000 0.000 Br
```